No. 1
A relaxed RbMg3Pb2 crystal, computed with PBE.

```
RbMg3Pb2
1.0
9.146 -2.438 0.000
9.146 2.438 0.000
-3.685 0.000 8.615
Rb Mg Pb
2 6 4
direct
0.152 0.152 0.060 Rb
0.848 0.848 0.940 Rb
0.040 0.040 0.368 Mg
0.315 0.315 0.548 Mg
0.415 0.415 0.346 Mg
0.585 0.585 0.654 Mg
0.685 0.685 0.452 Mg
0.960 0.960 0.632 Mg
0.185 0.185 0.672 Pb
0.473 0.473 0.818 Pb
0.527 0.527 0.182 Pb
0.815 0.815 0.328 Pb
```

Space group   C2/m (12)
ΔH_f (0 K)   -0.1196 eV per atom

No. 2
A relaxed RbMg2Pb2 crystal, computed with PBE.

```
RbMg2Pb2
1.0
9.496 0.000 0.000
0.000 9.496 0.000
0.000 0.000 3.327
Rb Mg Pb
2 4 4
direct
0.000 0.000 0.000 Rb
0.500 0.500 0.000 Rb
0.127 0.373 0.000 Mg
0.373 0.873 0.000 Mg
0.627 0.127 0.000 Mg
0.873 0.627 0.000 Mg
0.162 0.662 0.500 Pb
0.338 0.162 0.500 Pb
0.662 0.838 0.500 Pb
0.838 0.338 0.500 Pb
```

E above lowest polymorph   0.047 eV/atom
Space group   P4/mbm (127)
ΔH_f (0 K)   -0.0753 eV per atom

No. 3
A relaxed RbMg3Pb3 crystal, computed with PBE.

```
RbMg3Pb3
1.0
3.652 2.109 10.267
-3.652 2.109 10.267
0.000 -4.217 10.267
Rb Mg Pb
2 6 6
direct
0.178 0.178 0.178 Rb
0.822 0.822 0.822 Rb
0.079 0.579 0.263 Mg
0.263 0.079 0.579 Mg
0.421 0.737 0.921 Mg
0.579 0.263 0.079 Mg
0.737 0.921 0.421 Mg
0.921 0.421 0.737 Mg
0.182 0.694 0.368 Pb
0.306 0.632 0.818 Pb
0.368 0.182 0.694 Pb
0.632 0.818 0.306 Pb
0.694 0.368 0.182 Pb
0.818 0.306 0.632 Pb
```

E above lowest polymorph   0.024 eV/atom
Space group   R-3 (148)
ΔH_f (0 K)   -0.0326 eV per atom

No. 4
A relaxed RbMg3Pb3 crystal, computed with PBE.

```
RbMg3Pb3
1.0
8.103 0.000 0.000
0.000 4.774 0.000
-3.659 0.000 11.886
Rb Mg Pb
2 6 6
direct
0.184 0.250 0.418 Rb
0.816 0.750 0.582 Rb
0.183 0.750 0.921 Mg
0.308 0.250 0.117 Mg
0.426 0.250 0.901 Mg
0.574 0.750 0.099 Mg
0.692 0.750 0.883 Mg
0.817 0.250 0.079 Mg
0.065 0.750 0.131 Pb
0.296 0.750 0.708 Pb
0.456 0.750 0.312 Pb
0.544 0.250 0.688 Pb
0.704 0.250 0.292 Pb
0.935 0.250 0.869 Pb
```

E above lowest polymorph   0.000 eV/atom
Space group   P2_1/m (11)
ΔH_f (0 K)   -0.0564 eV per atom

No. 5
A relaxed Rb2Mg2Pb crystal, computed with PBE.

```
Rb2Mg2Pb
1.0
7.946 0.000 0.000
0.000 7.946 0.000
0.000 0.000 6.345
Rb Mg Pb
4 4 2
direct
0.183 0.317 0.000 Rb
0.317 0.817 0.000 Rb
0.683 0.183 0.000 Rb
0.817 0.683 0.000 Rb
0.139 0.639 0.500 Mg
0.361 0.139 0.500 Mg
0.639 0.861 0.500 Mg
0.861 0.361 0.500 Mg
0.000 0.000 0.500 Pb
0.500 0.500 0.500 Pb
```

Space group   P4/mbm (127)
ΔH_f (0 K)   0.0706 eV per atom

No. 6
A relaxed RbMg5Pb7 crystal, computed with PBE.

```
RbMg5Pb7
1.0
-3.153 5.538 5.437
3.153 -5.538 5.437
3.153 5.538 -5.437
Rb Mg Pb
1 5 7
direct
0.000 0.000 0.000 Rb
0.007 0.008 0.503 Mg
0.007 0.504 0.999 Mg
0.234 0.734 0.500 Mg
0.505 0.008 0.001 Mg
0.505 0.504 0.497 Mg
0.216 0.513 0.703 Pb
0.343 0.343 0.000 Pb
0.343 0.998 0.346 Pb
0.646 0.646 0.000 Pb
0.652 0.998 0.654 Pb
0.775 0.275 0.500 Pb
0.810 0.513 0.297 Pb
```

Space group   Imm2 (44)
ΔH_f (0 K)   -0.0523 eV per atom

No. 7
A relaxed RbMg2Pb10 crystal, computed with PBE.

```
RbMg2Pb10
1.0
0.000 7.631 8.609
3.216 0.000 8.609
3.216 7.631 0.000
Rb Mg Pb
1 2 10
direct
0.000 0.000 0.000 Rb
0.000 0.500 0.000 Mg
0.500 0.000 0.500 Mg
0.000 0.000 0.500 Pb
0.007 0.354 0.646 Pb
0.268 0.489 0.511 Pb
0.354 0.007 0.993 Pb
0.489 0.268 0.732 Pb
0.500 0.500 0.000 Pb
0.511 0.732 0.268 Pb
0.646 0.993 0.007 Pb
0.732 0.511 0.489 Pb
0.993 0.646 0.354 Pb
```

Space group   Fmmm (69)
ΔH_f (0 K)   -0.0452 eV per atom

No. 8
A relaxed RbMgPb4 crystal, computed with PBE.

```
RbMgPb4
1.0
4.177 0.000 0.000
-0.001 4.359 0.000
-0.004 -0.004 11.246
Rb Mg Pb
1 1 4
direct
0.000 0.000 0.000 Rb
0.500 0.500 0.500 Mg
0.001 0.998 0.645 Pb
0.498 0.502 0.232 Pb
0.502 0.498 0.768 Pb
0.999 0.002 0.355 Pb
```

E above lowest polymorph   0.000 eV/atom
Space group   P-1 (2)
ΔH_f (0 K)   -0.0719 eV per atom

No. 9
A relaxed Rb3MgPb crystal, computed with PBE.

```
Rb3MgPb
1.0
7.197 0.000 0.000
0.000 7.197 0.000
0.000 0.000 7.197
Rb Mg Pb
3 1 1
direct
0.000 0.000 0.500 Rb
0.000 0.500 0.000 Rb
0.500 0.000 0.000 Rb
0.500 0.500 0.500 Mg
0.000 0.000 0.000 Pb
```

E above lowest polymorph   0.221 eV/atom
Space group   Pm-3m (221)
ΔH_f (0 K)   0.2723 eV per atom

No. 10
A relaxed RbMgPb3 crystal, computed with PBE.

```
RbMgPb3
1.0
6.210 0.000 0.000
0.000 6.210 0.000
0.000 0.000 6.210
Rb Mg Pb
1 1 3
direct
0.000 0.000 0.000 Rb
0.500 0.500 0.500 Mg
0.000 0.000 0.500 Pb
0.000 0.500 0.000 Pb
0.500 0.000 0.000 Pb
```

E above lowest polymorph   1.194 eV/atom
Space group   Pm-3m (221)
ΔH_f (0 K)   1.1035 eV per atom

No. 11
A relaxed RbMg6Pb2 crystal, computed with PBE.

```
RbMg6Pb2
1.0
5.092 0.000 0.000
0.000 5.092 0.000
0.000 0.000 10.154
Rb Mg Pb
1 6 2
direct
0.000 0.000 0.000 Rb
0.000 0.000 0.500 Mg
0.000 0.500 0.322 Mg
0.000 0.500 0.678 Mg
0.500 0.000 0.322 Mg
0.500 0.000 0.678 Mg
0.500 0.500 0.500 Mg
0.500 0.500 0.169 Pb
0.500 0.500 0.831 Pb
```

Space group   P4/mmm (123)
ΔH_f (0 K)   -0.0497 eV per atom

No. 12
A relaxed RbMgRhPb2 crystal, computed with PBE.

```
RbMgRhPb2
1.0
5.388 0.000 0.000
0.000 5.388 0.000
0.000 0.000 5.205
Rb Mg Rh Pb
1 1 1 2
direct
0.000 0.000 0.000 Rb
0.500 0.500 0.000 Mg
0.500 0.500 0.500 Rh
0.000 0.500 0.500 Pb
0.500 0.000 0.500 Pb
```

Space group   P4/mmm (123)
ΔH_f (0 K)   -0.0587 eV per atom

No. 13
A relaxed RbMgSbPb2 crystal, computed with PBE.

```
RbMgSbPb2
1.0
6.137 0.000 0.000
0.000 6.137 0.000
0.000 0.000 5.815
Rb Mg Sb Pb
1 1 1 2
direct
0.000 0.000 0.000 Rb
0.000 0.000 0.500 Mg
0.500 0.500 0.500 Sb
0.000 0.500 0.000 Pb
0.500 0.000 0.000 Pb
```

Formation energy (no corrections)   5.895 eV/f.u.
Space group   P4/mmm (123)

No. 14
A relaxed RbMg2ScPb crystal, computed with PBE.

```
RbMg2ScPb
1.0
5.698 0.000 0.000
0.000 5.698 0.000
0.000 0.000 5.682
Rb Mg Sc Pb
1 2 1 1
direct
0.000 0.000 0.000 Rb
0.000 0.500 0.000 Mg
0.500 0.000 0.000 Mg
0.000 0.000 0.500 Sc
0.500 0.500 0.500 Pb
```

Space group   P4/mmm (123)
ΔH_f (0 K)   1.3053 eV per atom

No. 15
A relaxed RbMgSnPb2 crystal, computed with PBE.

```
RbMgSnPb2
1.0
4.782 0.000 0.000
0.000 4.782 0.000
0.000 0.000 15.063
Rb Mg Sn Pb
2 2 2 4
direct
0.000 0.000 0.000 Rb
0.500 0.500 0.500 Rb
0.000 0.500 0.250 Mg
0.500 0.000 0.750 Mg
0.000 0.500 0.750 Sn
0.500 0.000 0.250 Sn
0.000 0.000 0.381 Pb
0.000 0.000 0.619 Pb
0.500 0.500 0.119 Pb
0.500 0.500 0.881 Pb
```

Space group   I-4m2 (119)
ΔH_f (0 K)   -0.1248 eV per atom

No. 16
A relaxed Rb2MgSn4Pb3 crystal, computed with PBE.

```
Rb2MgSn4Pb3
1.0
5.161 0.000 0.000
0.000 5.161 0.000
0.000 0.000 13.392
Rb Mg Sn Pb
2 1 4 3
direct
0.000 0.500 0.246 Rb
0.500 0.000 0.754 Rb
0.500 0.500 0.000 Mg
0.000 0.000 0.500 Sn
0.000 0.500 0.874 Sn
0.500 0.000 0.126 Sn
0.500 0.500 0.500 Sn
0.000 0.000 0.000 Pb
0.000 0.500 0.635 Pb
0.500 0.000 0.365 Pb
```

Space group   P-4m2 (115)
ΔH_f (0 K)   -0.1139 eV per atom

No. 17
A relaxed RbMgSn2Pb crystal, computed with PBE.

```
RbMgSn2Pb
1.0
5.244 0.000 0.000
0.000 5.244 0.000
0.000 0.000 12.384
Rb Mg Sn Pb
2 2 4 2
direct
0.000 0.000 0.000 Rb
0.500 0.500 0.500 Rb
0.000 0.500 0.750 Mg
0.500 0.000 0.250 Mg
0.000 0.000 0.381 Sn
0.000 0.000 0.619 Sn
0.500 0.500 0.119 Sn
0.500 0.500 0.881 Sn
0.000 0.500 0.250 Pb
0.500 0.000 0.750 Pb
```

Space group   I-4m2 (119)
ΔH_f (0 K)   -0.1379 eV per atom

No. 18
A relaxed RbMg2SnPb2 crystal, computed with PBE.

```
RbMg2SnPb2
1.0
8.649 0.000 0.000
0.000 10.732 0.000
0.000 0.000 4.788
Rb Mg Sn Pb
2 4 2 4
direct
0.000 0.000 0.000 Rb
0.500 0.500 0.500 Rb
0.050 0.335 0.500 Mg
0.450 0.835 0.000 Mg
0.550 0.165 0.000 Mg
0.950 0.665 0.500 Mg
0.000 0.500 0.000 Sn
0.500 0.000 0.500 Sn
0.242 0.290 0.000 Pb
0.258 0.790 0.500 Pb
0.742 0.210 0.500 Pb
0.758 0.710 0.000 Pb
```

Space group   Pnnm (58)
ΔH_f (0 K)   0.0962 eV per atom

No. 19
A relaxed Rb2Mg4Sn3Pb crystal, computed with PBE.

```
Rb2Mg4Sn3Pb
1.0
4.948 0.000 0.000
0.000 4.948 0.000
0.000 0.000 12.784
Rb Mg Sn Pb
2 4 3 1
direct
0.000 0.500 0.245 Rb
0.500 0.000 0.755 Rb
0.000 0.000 0.000 Mg
0.000 0.500 0.643 Mg
0.500 0.000 0.357 Mg
0.500 0.500 0.000 Mg
0.000 0.500 0.870 Sn
0.500 0.000 0.130 Sn
0.500 0.500 0.500 Sn
0.000 0.000 0.500 Pb
```

Space group   P-4m2 (115)
ΔH_f (0 K)   -0.1631 eV per atom

No. 20
A relaxed RbSrMgPb2 crystal, computed with PBE.

```
RbSrMgPb2
1.0
5.693 0.000 0.000
0.000 5.693 0.000
0.000 0.000 5.961
Rb Sr Mg Pb
1 1 1 2
direct
0.000 0.000 0.000 Rb
0.500 0.500 0.000 Sr
0.000 0.000 0.500 Mg
0.000 0.500 0.500 Pb
0.500 0.000 0.500 Pb
```

Space group   P4/mmm (123)
ΔH_f (0 K)   0.0797 eV per atom

No. 21
A relaxed Rb2Mg3Tl12Pb crystal, computed with PBE.

```
Rb2Mg3Tl12Pb
1.0
3.928 2.268 11.837
-3.928 2.268 11.837
0.000 -4.535 11.837
Rb Mg Tl Pb
2 3 12 1
direct
0.146 0.146 0.146 Rb
0.854 0.854 0.854 Rb
0.000 0.500 0.500 Mg
0.500 0.000 0.500 Mg
0.500 0.500 0.000 Mg
0.089 0.089 0.686 Tl
0.089 0.686 0.089 Tl
0.125 0.582 0.582 Tl
0.314 0.911 0.911 Tl
0.418 0.418 0.875 Tl
0.418 0.875 0.418 Tl
0.582 0.125 0.582 Tl
0.582 0.582 0.125 Tl
0.686 0.089 0.089 Tl
0.875 0.418 0.418 Tl
0.911 0.314 0.911 Tl
0.911 0.911 0.314 Tl
0.500 0.500 0.500 Pb
```

Space group   R-3m (166)
ΔH_f (0 K)   0.0582 eV per atom

No. 22
A relaxed RbMgTl2Pb crystal, computed with PBE.

```
RbMgTl2Pb
1.0
4.866 0.000 0.000
0.000 4.866 0.000
0.000 0.000 14.593
Rb Mg Tl Pb
2 2 4 2
direct
0.000 0.000 0.000 Rb
0.500 0.500 0.500 Rb
0.000 0.500 0.750 Mg
0.500 0.000 0.250 Mg
0.000 0.000 0.389 Tl
0.000 0.000 0.611 Tl
0.500 0.500 0.111 Tl
0.500 0.500 0.889 Tl
0.000 0.500 0.250 Pb
0.500 0.000 0.750 Pb
```

E above lowest polymorph   0.000 eV/atom
Space group   I-4m2 (119)
ΔH_f (0 K)   -0.0427 eV per atom

No. 23
A relaxed RbMg2TlPb4 crystal, computed with PBE.

```
RbMg2TlPb4
1.0
2.739 1.581 10.637
-2.739 1.581 10.637
0.000 -3.163 10.637
Rb Mg Tl Pb
1 2 1 4
direct
0.000 0.000 0.000 Rb
0.225 0.225 0.225 Mg
0.775 0.775 0.775 Mg
0.500 0.500 0.500 Tl
0.120 0.120 0.120 Pb
0.406 0.406 0.406 Pb
0.594 0.594 0.594 Pb
0.880 0.880 0.880 Pb
```

Space group   R-3m (166)
ΔH_f (0 K)   0.0081 eV per atom

No. 24
A relaxed RbMg2Tl4Pb crystal, computed with PBE.

```
RbMg2Tl4Pb
1.0
2.672 1.543 10.909
-2.672 1.543 10.909
0.000 -3.086 10.909
Rb Mg Tl Pb
1 2 4 1
direct
0.000 0.000 0.000 Rb
0.216 0.216 0.216 Mg
0.784 0.784 0.784 Mg
0.117 0.117 0.117 Tl
0.403 0.403 0.403 Tl
0.597 0.597 0.597 Tl
0.883 0.883 0.883 Tl
0.500 0.500 0.500 Pb
```

Space group   R-3m (166)
ΔH_f (0 K)   -0.0238 eV per atom